Density functional theory data (PBE-GGA) for a relaxed LaSb2Rh crystal.

Unit cell a=4.2964 b=4.2964 c=20.4535 alpha=90.00 beta=90.00 gamma=120.00
Space group R3m (No. 160, hexagonal axes)
One atom of each set of equivalent atoms:
La 0.0000 0.0000 0.0000 (multiplicity 3)
Sb 0.0000 0.0000 0.2220 (multiplicity 3)
Sb 0.0000 0.0000 0.4638 (multiplicity 3)
Rh 0.0000 0.0000 0.7400 (multiplicity 3)

Results
Formation energy without anion corrections, eV per atom: -0.383